Record 1
Below is crystalline Ga2CuGe at its relaxed geometry, with properties calculated at the PBE level.

abc: 2.9920 2.9920 7.3582
angles: 90.00 90.00 90.00
Closest atoms and distances in Å follow each position.
Space group P4/mmm (No. 123)
One atom of each set of equivalent atoms:
Ga1 0.0000 0.0000 0.2186 x2  4 Cu 2.66, 4 Ge 2.96
Cu1 0.5000 0.5000 0.0000 x1  8 Ga 2.66
Ge1 0.5000 0.5000 0.5000 x1  8 Ga 2.96, 4 Ge 2.99

E_form   0.092 eV per atom
Crystal system   tetragonal



Record 2
Below is crystalline Ga3Cu7Ge at its relaxed geometry, with properties calculated at the PBE level.

abc: 8.5154 8.6424 4.9215
angles: 90.00 117.18 90.00
Closest atoms and distances in Å follow each position.
Space group C2/m (No. 12)
One atom of each set of equivalent atoms:
Ga1 0.0000 0.0000 0.0000 x2  6 Cu 2.44-2.49
Ga2 0.0000 0.2083 0.5000 x4  7 Cu 2.50-2.64
Cu1 0.0000 0.5000 0.5000 x2  2 Ge 2.46, 2 Cu 2.49, 2 Ga 2.52
Cu2 0.1772 0.2420 0.1827 x8  3 Ga 2.49-2.64, 5 Cu 2.56-2.79, 1 Ge 2.61
Cu3 0.2185 0.0000 0.5376 x4  1 Ge 2.44, 3 Ga 2.44-2.53, 5 Cu 2.49-2.64
Ge1 0.0000 0.5000 0.0000 x2  8 Cu 2.44-2.61

E_form   0.070 eV per atom
Crystal system   monoclinic



Record 3
Below is crystalline Ga2CuGe2 at its relaxed geometry, with properties calculated at the PBE level.

abc: 6.4920 6.4920 4.3377
angles: 90.00 90.00 90.00
Closest atoms and distances in Å follow each position.
Space group P4/mbm (No. 127)
One atom of each set of equivalent atoms:
Ga1 0.1480 0.3520 0.0000 x4  2 Cu 2.48, 1 Ga 2.72
Cu1 0.0000 0.0000 0.0000 x2  4 Ga 2.48
Ge1 0.1629 0.6629 0.5000 x4  6 Ga 2.78-2.96, 1 Ge 2.99

E_form   0.215 eV per atom
Crystal system   tetragonal
Offset from the most stable computed form   4.6 kJ/mol of atoms



Record 4
Below is crystalline Ga2Cu7Ge2 at its relaxed geometry, with properties calculated at the PBE level.

abc: 8.1097 6.8516 6.1276
angles: 90.00 105.40 90.00
Closest atoms and distances in Å follow each position.
Space group C2/m (No. 12)
One atom of each set of equivalent atoms:
Ga1 0.1960 0.0000 0.0322 x4  7 Cu 2.39-2.63
Cu1 0.0000 0.5000 0.0000 x2  4 Cu 2.52, 2 Ga 2.52
Cu2 0.0592 0.0000 0.3329 x4  2 Ga 2.39-2.61, 3 Cu 2.48-2.62, 2 Ge 2.52
Cu3 0.2289 0.3158 0.2852 x8  2 Ge 2.43-2.55, 4 Cu 2.52-2.72, 2 Ga 2.52-2.63
Ge1 0.0000 0.3196 0.5000 x4  6 Cu 2.43-2.55, 1 Ge 2.47

E_form   0.097 eV per atom
Crystal system   monoclinic